Entry 1:
A plane-wave DFT calculation with PBEsol was carried out for FeNi3 after structural relaxation.

Output
* VASP energy: -27.55 eV/cell
* crystal system: orthorhombic
* size of the total moment: 4.51 μB/f.u.

abc: 2.462 4.002 4.283
angles: 90.00 90.00 90.00
Atoms (fractional coordinates):
Fe 0.000 0.000 0.000
Ni 0.000 0.500 0.331
Ni 0.500 0.000 0.497
Ni 0.500 0.500 0.826


Entry 2:
A plane-wave DFT calculation with PBEsol was carried out for Fe3Ni after structural relaxation.

Output
* VASP energy: -130.94 eV/cell
* crystal system: cubic
* size of the total moment: 8.47 μB/f.u.

abc: 5.616 5.616 5.616
angles: 90.00 90.00 90.00
Atoms (fractional coordinates):
Fe 0.000 0.000 0.000
Fe 0.000 0.500 0.500
Fe 0.250 0.250 0.250
Fe 0.250 0.250 0.750
Fe 0.250 0.750 0.250
Fe 0.250 0.750 0.750
Fe 0.500 0.000 0.500
Fe 0.500 0.500 0.000
Fe 0.750 0.250 0.250
Fe 0.750 0.250 0.750
Fe 0.750 0.750 0.250
Fe 0.750 0.750 0.750
Ni 0.000 0.000 0.500
Ni 0.000 0.500 0.000
Ni 0.500 0.000 0.000
Ni 0.500 0.500 0.500


Entry 3:
A plane-wave DFT calculation with PBEsol was carried out for FeNi3 after structural relaxation.

Output
* VASP energy: -27.60 eV/cell
* crystal system: orthorhombic
* size of the total moment: 4.42 μB/f.u.

abc: 2.452 3.484 4.939
angles: 90.00 90.00 90.00
Atoms (fractional coordinates):
Fe 0.000 0.000 0.000
Ni 0.000 0.000 0.500
Ni 0.500 0.500 0.253
Ni 0.500 0.500 0.747


Entry 4:
A plane-wave DFT calculation with PBEsol was carried out for Fe2Ni after structural relaxation.

Output
* VASP energy: -95.33 eV/cell
* crystal system: monoclinic
* size of the total moment: 5.05 μB/f.u.

abc: 9.240 2.428 5.976
angles: 90.00 106.20 90.00
Atoms (fractional coordinates):
Fe 0.000 0.000 0.000
Fe 0.060 0.000 0.611
Fe 0.175 0.500 0.326
Fe 0.334 0.000 0.664
Fe 0.500 0.500 0.000
Fe 0.560 0.500 0.611
Fe 0.675 0.000 0.326
Fe 0.834 0.500 0.664
Ni 0.225 0.500 0.946
Ni 0.396 0.000 0.278
Ni 0.725 0.000 0.946
Ni 0.896 0.500 0.278